(1)
Density functional theory data (PBE) for a geometry-optimized SrBeNbIr structure.

a = 4.6059 Å, b = 4.6059 Å, c = 4.6059 Å
α = 60.00°, β = 60.00°, γ = 60.00°
Positions (direct):
Be (0.7500, 0.7500, 0.7500)
Sr (0.0000, 0.0000, 0.0000)
Ir (0.5000, 0.5000, 0.5000)
Nb (0.2500, 0.2500, 0.2500)

Values from the calculation:
Its raw total energy is -5.76 eV per atom.

=====

(2)
Density functional theory data (PBE) for a geometry-optimized La3PrSe4 structure.

a = 7.4475 Å, b = 7.4475 Å, c = 4.2829 Å
α = 90.00°, β = 90.00°, γ = 109.32°
Positions (direct):
Se (0.2488, 0.2488, 0.0000)
Se (0.7507, 0.2493, 0.5000)
Se (0.2493, 0.7507, 0.5000)
Se (0.7512, 0.7512, 0.0000)
La (0.5000, 0.5000, 0.5000)
La (0.0000, 0.5000, 0.0000)
La (0.5000, 0.0000, 0.0000)
Pr (0.0000, 0.0000, 0.5000)

Values from the calculation:
Its raw total energy is -6.15 eV per atom.

=====

(3)
Density functional theory data (PBE) for a geometry-optimized Ac3Zn2Ge2 structure.

a = 10.2343 Å, b = 10.2343 Å, c = 10.2343 Å
α = 155.40°, β = 153.84°, γ = 36.21°
Positions (direct):
Ge (0.1388, 0.1388, 0.0000)
Ge (0.8612, 0.8612, 0.0000)
Ac (0.5000, 0.0000, 0.5000)
Ac (0.3153, 0.3153, 0.0000)
Ac (0.6847, 0.6847, 0.0000)
Zn (0.9361, 0.4361, 0.5000)
Zn (0.0639, 0.5639, 0.5000)

Values from the calculation:
Its raw total energy is -4.03 eV per atom.

=====

(4)
Density functional theory data (PBE) for a geometry-optimized Li4Cd3In structure.

a = 4.7248 Å, b = 4.7248 Å, c = 6.6701 Å
α = 90.00°, β = 90.00°, γ = 90.00°
Positions (direct):
Cd (0.5000, 0.5000, 0.5000)
Cd (0.5000, 0.0000, 0.2534)
Cd (0.0000, 0.5000, 0.7466)
Li (0.0000, 0.0000, 0.5000)
Li (0.5000, 0.0000, 0.7475)
Li (0.0000, 0.5000, 0.2525)
Li (0.5000, 0.5000, 0.0000)
In (0.0000, 0.0000, 0.0000)

Values from the calculation:
Its raw total energy is -1.91 eV per atom.

=====

(5)
Density functional theory data (PBE) for a geometry-optimized PrFeSi2Pd structure.

a = 5.7612 Å, b = 5.7612 Å, c = 5.7612 Å
α = 137.63°, β = 137.63°, γ = 61.47°
Each line ends with the local moment (μB).
Positions (direct):
Pr (0.7500, 0.2500, 0.5000)  0.01
Pd (0.5000, 0.5000, 0.0000)  0.04
Si (0.3767, 0.8767, 0.5000)  -0.03
Si (0.1233, 0.6233, 0.5000)  -0.03
Fe (0.0000, 0.0000, 0.0000)  1.66

Values from the calculation:
Its raw total energy is -6.54 eV per atom.

=====

(6)
Density functional theory data (PBE) for a geometry-optimized Al2GaMo structure.

a = 4.4513 Å, b = 4.4513 Å, c = 4.4513 Å
α = 60.00°, β = 60.00°, γ = 60.00°
Positions (direct):
Al (0.0000, 0.0000, 0.0000)
Al (0.2500, 0.2500, 0.2500)
Ga (0.7500, 0.7500, 0.7500)
Mo (0.5000, 0.5000, 0.5000)

Values from the calculation:
Its raw total energy is -5.10 eV per atom.